VASP calculation (GGA-PBE) on crystalline MnGeCN at its relaxed geometry.

Cell and atoms, written as CIF:
```
data_MnGeCN
_symmetry_space_group_name_H-M 'P 1'
_symmetry_Int_Tables_number 1
_cell_length_a 3.145
_cell_length_b 3.145
_cell_length_c 15.901
_cell_angle_alpha 90.00
_cell_angle_beta 90.00
_cell_angle_gamma 120.00
loop_
_symmetry_equiv_pos_as_xyz
'x,y,z'
loop_
_atom_site_label
_atom_site_type_symbol
_atom_site_fract_x
_atom_site_fract_y
_atom_site_fract_z
Mn1 Mn 0.000 0.000 0.017
Mn2 Mn 0.667 0.333 0.350
Mn3 Mn 0.333 0.667 0.683
N1 N 0.333 0.667 0.037
N2 N 0.000 0.000 0.370
N3 N 0.667 0.333 0.703
C1 C 0.667 0.333 0.221
C2 C 0.333 0.667 0.555
C3 C 0.000 0.000 0.888
Ge1 Ge 0.333 0.667 0.847
Ge2 Ge 0.000 0.000 0.180
Ge3 Ge 0.667 0.333 0.514
```

Computed properties:
energy	-89.27	eV/cell
ρ	5.62	g/cm3
uncorrected formation energy	0.39	eV per atom